NpAs2Au: relaxed, PBE.

Lattice parameters (Å, degrees): 7.879 7.879 7.879 31.90 31.90 31.90
Element x y z (fractional)
Np 0.000 0.000 0.000
As 0.392 0.392 0.392
As 0.608 0.608 0.608
Au 0.500 0.500 0.500

- Energy of formation: 19 meV per atom
- Crystal system: trigonal
- Symmetry: No. 166
- Energy: -25.44 eV/cell
- Magnetization: 0.5727 μB per atom